Entry 1:
First-principles (PBEsol) data for crystalline Y4CdCl at its relaxed geometry, as listed in the Alexandria database. Values from VASP.

Structure (Quantum ESPRESSO input):
```
&SYSTEM
  ibrav = 0, nat = 6, ntyp = 3
/
ATOMIC_SPECIES
Y 88.91 Y.upf
Cd 112.41 Cd.upf
Cl 35.45 Cl.upf
CELL_PARAMETERS angstrom
0.0000 4.4509 4.4509
4.4509 0.0000 4.4509
4.4509 4.4509 0.0000
ATOMIC_POSITIONS crystal
Y 0.1232 0.1232 0.1232
Y 0.1232 0.1232 0.6303
Y 0.1232 0.6303 0.1232
Y 0.6303 0.1232 0.1232
Cd 0.7500 0.7500 0.7500
Cl 0.5000 0.5000 0.5000
```

Entry 2:
First-principles (PBEsol) data for crystalline YCdCl at its relaxed geometry, as listed in the Alexandria database. Values from VASP.

Structure (Quantum ESPRESSO input):
```
&SYSTEM
  ibrav = 0, nat = 3, ntyp = 3
/
ATOMIC_SPECIES
Y 88.91 Y.upf
Cd 112.41 Cd.upf
Cl 35.45 Cl.upf
CELL_PARAMETERS angstrom
3.5333 0.0000 0.0000
-1.7666 3.0599 0.0000
0.0000 0.0000 7.2560
ATOMIC_POSITIONS crystal
Y 0.0000 0.0000 0.0000
Cd 0.3333 0.6667 0.6752
Cl 0.6667 0.3333 0.2520
```

Entry 3:
First-principles (PBEsol) data for crystalline ZnCdCl2 at its relaxed geometry, as listed in the Alexandria database. Values from VASP.

Structure (Quantum ESPRESSO input):
```
&SYSTEM
  ibrav = 0, nat = 4, ntyp = 3
/
ATOMIC_SPECIES
Zn 65.41 Zn.upf
Cd 112.41 Cd.upf
Cl 35.45 Cl.upf
CELL_PARAMETERS angstrom
4.8245 0.0000 0.0000
0.0000 4.8245 0.0000
0.0000 0.0000 3.4287
ATOMIC_POSITIONS crystal
Zn 0.0000 0.0000 0.0000
Cd 0.5000 0.5000 0.0000
Cl 0.0000 0.5000 0.5000
Cl 0.5000 0.0000 0.5000
```

Number 1: total energy -28.774 eV/cell. Number 2: total energy -12.691 eV/cell. Number 3: total energy -7.490 eV/cell.